Na2HfBiSe4: optimized geometry, PBE.

## Properties
Space group ... P2/m
Formation energy (no corrections) ... -89.9 kJ/mol of atoms
D(E_F) ... 4.11 states/eV per cell

a = 3.9631 Å, b = 7.3690 Å, c = 7.3669 Å
α = 107.44°, β = 90.00°, γ = 90.00°
With the nearest neighbours (Å) after each atom.
Atoms (fractional coordinates):
Se (0.0000, 0.7219, 0.2187)  2 Hf 2.76, 1 Bi 2.96, 1 Na 3.00
Hf (0.5000, 0.5000, 0.0000)  6 Se 2.71-2.76
Na (0.0000, 0.5000, 0.5000)  6 Se 2.95-3.00
Se (0.5000, 0.2730, 0.2299)  1 Hf 2.71, 2 Na 2.95, 2 Bi 2.97
Se (0.5000, 0.7270, 0.7701)  1 Hf 2.71, 2 Na 2.95, 2 Bi 2.97
Bi (0.0000, 0.0000, 0.0000)  6 Se 2.96-2.97
Na (0.5000, 0.0000, 0.5000)  6 Se 3.14-3.23
Se (0.0000, 0.2781, 0.7813)  2 Hf 2.76, 1 Bi 2.96, 1 Na 3.00